! Ba2PaCo3O12 (GGA+U, relaxed); values from VASP
&SYSTEM
  ibrav = 0, nat = 18, ntyp = 4
/
ATOMIC_SPECIES
Ba 137.33 Ba.upf
Pa 231.04 Pa.upf
Co 58.93 Co.upf
O 16.00 O.upf
ATOMIC_POSITIONS angstrom
Ba -4.156 -9.558 -1.181
Ba -2.653 -6.101 -0.754
Pa 0.000 0.000 0.000
Co -2.638 -1.826 -1.377
Co 0.526 -3.217 -1.251
Co -1.292 -2.787 1.660
O -3.595 -8.051 1.377
O -4.770 -11.160 -3.433
O -3.390 -12.144 -0.321
O -5.188 -6.914 -2.217
O -6.632 -10.719 -0.450
O -1.445 -8.560 -2.067
O -3.213 -7.609 -3.312
O -2.038 -4.500 1.498
O -3.418 -3.515 -1.614
O -1.620 -8.745 0.282
O -0.176 -4.941 -1.485
O -5.364 -7.099 0.132
CELL_PARAMETERS angstrom
-5.276 -3.652 -2.754
1.051 -6.434 -2.501
-2.583 -5.573 3.320
! Spin magnetization: 6.0 Bohr magnetons per cell
! Symmetry: R-3m, No. 166
! DFT total energy: -6.448 eV/atom